No. 1
A plane-wave DFT calculation with GGA-PBE was carried out for crystalline HfTi2Ag at its relaxed geometry.

- SG: P4/mmm
- Energy above the most stable polymorph in this dataset: 131 meV per atom
- Spin magnetization: 0.00 μB per formula unit
- Energy of formation from the pure elements: 0.145 eV/atom
- DFT total energy: -7.003 eV per atom

Cell: 3.1260 4.8344 4.8344 Å, 90.00 90.00 90.00°
Fractional coordinates of all 4 atoms:
Ag 0.5000 0.0000 0.0000
Hf 0.5000 0.5000 0.5000
Ti 0.0000 0.5000 0.0000
Ti 0.0000 0.0000 0.5000

---

No. 2
A plane-wave DFT calculation with GGA-PBE was carried out for crystalline Hf2TiAg2 at its relaxed geometry.

- SG: P4/mbm
- Energy above the most stable polymorph in this dataset: 297 meV per atom
- Spin magnetization: 1.83 μB per formula unit
- Energy of formation from the pure elements: 0.315 eV/atom
- DFT total energy: -6.386 eV per atom

Cell: 8.0970 8.0970 3.1040 Å, 90.00 90.00 90.00°
Site moments in Bohr magnetons follow the coordinates.
Fractional coordinates of all 10 atoms:
Ag 0.1335 0.6335 0.5000  0.00
Hf 0.3366 0.8366 0.0000  0.11
Hf 0.8366 0.6634 0.0000  0.12
Hf 0.6634 0.1634 0.0000  0.11
Ag 0.6335 0.8665 0.5000  0.00
Ag 0.8665 0.3665 0.5000  0.00
Ti 0.5000 0.5000 0.0000  1.23
Hf 0.1634 0.3366 0.0000  0.12
Ag 0.3665 0.1335 0.5000  0.00
Ti 0.0000 0.0000 0.0000  1.23

---

No. 3
A plane-wave DFT calculation with GGA-PBE was carried out for crystalline HfTiAg2 at its relaxed geometry.

- SG: P4/mmm
- Energy above the most stable polymorph in this dataset: 156 meV per atom
- Spin magnetization: 0.69 μB per formula unit
- Energy of formation from the pure elements: 0.099 eV/atom
- DFT total energy: -5.789 eV per atom

Cell: 2.9811 2.9811 8.3135 Å, 90.00 90.00 90.00°
Site moments in Bohr magnetons follow the coordinates.
Fractional coordinates of all 4 atoms:
Hf 0.5000 0.5000 0.5000  -0.07
Ag 0.0000 0.0000 0.7601  0.00
Ti 0.5000 0.5000 0.0000  0.64
Ag 0.0000 0.0000 0.2399  0.00

---

No. 4
A plane-wave DFT calculation with GGA-PBE was carried out for crystalline Hf2TiAg at its relaxed geometry.

- SG: P4/mmm
- Energy above the most stable polymorph in this dataset: 146 meV per atom
- Spin magnetization: 0.00 μB per formula unit
- Energy of formation from the pure elements: 0.109 eV/atom
- DFT total energy: -7.554 eV per atom

Cell: 4.1885 4.3287 4.3287 Å, 90.00 90.00 90.00°
Fractional coordinates of all 4 atoms:
Ti 0.5000 0.0000 0.0000
Ag 0.5000 0.5000 0.5000
Hf 0.0000 0.5000 0.0000
Hf 0.0000 0.0000 0.5000

---

No. 5
A plane-wave DFT calculation with GGA-PBE was carried out for crystalline Hf2TiAg at its relaxed geometry.

- SG: P4/mmm
- Energy above the most stable polymorph in this dataset: 0 meV per atom
- Spin magnetization: 0.00 μB per formula unit
- Energy of formation from the pure elements: -0.037 eV/atom
- DFT total energy: -7.700 eV per atom

Cell: 3.1200 3.1200 8.1128 Å, 90.00 90.00 90.00°
Fractional coordinates of all 4 atoms:
Ag 0.5000 0.5000 0.5000
Hf 0.0000 0.0000 0.2432
Ti 0.5000 0.5000 0.0000
Hf 0.0000 0.0000 0.7568

---

No. 6
A plane-wave DFT calculation with GGA-PBE was carried out for crystalline HfTiTlAg at its relaxed geometry.

- SG: F-43m
- Spin magnetization: 0.00 μB per formula unit
- Energy of formation from the pure elements: 0.137 eV/atom
- DFT total energy: -5.629 eV per atom

Cell: 4.8297 4.8297 4.8297 Å, 60.00 60.00 60.00°
Fractional coordinates of all 4 atoms:
Ag 0.0000 0.0000 0.0000
Tl 0.5000 0.5000 0.5000
Ti 0.2500 0.2500 0.2500
Hf 0.7500 0.7500 0.7500